Density functional theory data (PBE) for an optimized crystal structure of Ca2Re.

abc: 5.604 5.604 5.604
angles: 150.07 128.37 60.83
Atoms (fractional coordinates):
Ca  0.156  0.156  0.000
Ca  0.844  0.844  0.000
Re  0.500  0.500  0.000

Computed properties:
The calculation puts the density of states at the Fermi level at 0.63 states/eV/atom. As for the energy relative to the lowest polymorph listed for this composition: 0.356 eV/atom. The formation energy comes out at 0.7518 eV/atom. The calculation puts the total magnetization at 0.0 Bohr magnetons per cell.

***

Density functional theory data (PBE) for an optimized crystal structure of Sr2MnZn2Pt5.

abc: 10.023 10.023 3.704
angles: 90.00 90.00 90.00
Atoms (fractional coordinates):
Sr  0.177  0.323  0.000
Sr  0.323  0.823  0.000
Sr  0.677  0.177  0.000
Sr  0.823  0.677  0.000
Mn  0.000  0.000  0.000
Mn  0.500  0.500  0.000
Zn  0.124  0.624  0.000
Zn  0.376  0.124  0.000
Zn  0.624  0.876  0.000
Zn  0.876  0.376  0.000
Pt  0.000  0.500  0.500
Pt  0.059  0.800  0.500
Pt  0.200  0.059  0.500
Pt  0.300  0.559  0.500
Pt  0.441  0.300  0.500
Pt  0.500  0.000  0.500
Pt  0.559  0.700  0.500
Pt  0.700  0.441  0.500
Pt  0.800  0.941  0.500
Pt  0.941  0.200  0.500

Computed properties:
The calculation puts the density of states at the Fermi level at 0.38 states/eV/atom. The formation energy comes out at -0.5514 eV/atom. The calculation puts the total magnetization at 9.0 Bohr magnetons per cell.